[1]
DFT (PBE) results for a relaxed Er4ScAg crystal.

The space group is Cmc2_1 (No. 36) and the conventional cell measures 5.2099, 20.8474 and 6.2551 Å, with angles of 90.00, 90.00 and 90.00 degrees. The asymmetric unit holds Er at (0.0000, 0.0337, 0.0000), Er at (0.0000, 0.1733, 0.8162), Er at (0.0000, 0.2409, 0.3017), Er at (0.0000, 0.4306, 0.1590), Sc at (0.0000, 0.3648, 0.6528) and Ag at (0.0000, 0.1039, 0.4014).

As for the total magnetization: 0.00 μB/cell. The calculation puts the formation enthalpy at 0 K at 0.07 eV/atom. As for the offset from the most stable computed form: 134.4 meV/atom.

[2]
DFT (PBE) results for a relaxed ErScAg2 crystal.

The space group is P4/mmm (No. 123) and the conventional cell measures 3.5109, 3.5109 and 7.0750 Å, with angles of 90.00, 90.00 and 90.00 degrees. The asymmetric unit holds Er at (0.0000, 0.0000, 0.0000), Sc at (0.0000, 0.0000, 0.5000) and Ag at (0.5000, 0.5000, 0.2691).

As for the total magnetization: 0.00 μB/cell. The calculation puts the formation enthalpy at 0 K at -0.30 eV/atom. As for the offset from the most stable computed form: 0.0 meV/atom.

[3]
DFT (PBE) results for a relaxed ErSc2Ag crystal.

The space group is P4/mmm (No. 123) and the conventional cell measures 3.4578, 3.4578 and 8.0001 Å, with angles of 90.00, 90.00 and 90.00 degrees. The asymmetric unit holds Er at (0.0000, 0.0000, 0.0000), Sc at (0.5000, 0.5000, 0.2892) and Ag at (0.0000, 0.0000, 0.5000).

As for the total magnetization: 0.00 μB/cell. The calculation puts the formation enthalpy at 0 K at -0.09 eV/atom. As for the offset from the most stable computed form: 20.9 meV/atom.

[4]
DFT (PBE) results for a relaxed ErScAg6 crystal.

The space group is C2/m (No. 12) and the conventional cell measures 9.3964, 4.2898 and 8.6952 Å, with angles of 90.00, 117.35 and 90.00 degrees. The asymmetric unit holds Er at (0.0000, 0.0000, 0.0000), Sc at (0.0000, 0.0000, 0.5000), Ag at (0.0018, 0.5000, 0.7450), Ag at (0.2468, 0.0000, 0.8678) and Ag at (0.2487, 0.5000, 0.6198).

As for the total magnetization: 0.00 μB/cell. The calculation puts the formation enthalpy at 0 K at -0.20 eV/atom.

[5]
DFT (PBE) results for a relaxed ErScAg crystal.

The space group is C2/m (No. 12) and the conventional cell measures 11.0079, 5.0282 and 6.1980 Å, with angles of 90.00, 123.37 and 90.00 degrees. The asymmetric unit holds Er at (0.1692, 0.0000, 0.2605), Sc at (0.0520, 0.5000, 0.8070) and Ag at (0.1509, 0.0000, 0.7206).

As for the total magnetization: 0.00 μB/cell. The calculation puts the formation enthalpy at 0 K at -0.13 eV/atom. As for the offset from the most stable computed form: 28.9 meV/atom.

[6]
DFT (PBE) results for a relaxed ErSc4Ag5 crystal.

The space group is P4/mmm (No. 123) and the conventional cell measures 3.4428, 3.4428 and 17.5969 Å, with angles of 90.00, 90.00 and 90.00 degrees. The asymmetric unit holds Er at (0.0000, 0.0000, 0.0000), Sc at (0.0000, 0.0000, 0.2058), Sc at (0.0000, 0.0000, 0.4021), Ag at (0.5000, 0.5000, 0.1105), Ag at (0.5000, 0.5000, 0.3038) and Ag at (0.5000, 0.5000, 0.5000).

As for the total magnetization: 0.00 μB/cell. The calculation puts the formation enthalpy at 0 K at -0.28 eV/atom.

[7]
DFT (PBE) results for a relaxed ErScAg crystal.

The space group is I4mm (No. 107) and the conventional cell measures 3.4662, 3.4662 and 11.9856 Å, with angles of 90.00, 90.00 and 90.00 degrees. The asymmetric unit holds Er at (0.0000, 0.0000, 0.0000), Sc at (0.0000, 0.0000, 0.3034) and Ag at (0.0000, 0.0000, 0.6638).

As for the total magnetization: 2.07 μB/cell. The calculation puts the formation enthalpy at 0 K at -0.16 eV/atom. As for the offset from the most stable computed form: 0.0 meV/atom.

[8]
DFT (PBE) results for a relaxed ErScAg crystal.

The space group is P4/nmm (No. 129, origin choice 2) and the conventional cell measures 4.5189, 4.5189 and 7.2638 Å, with angles of 90.00, 90.00 and 90.00 degrees. The asymmetric unit holds Er at (0.2500, 0.2500, 0.1384), Sc at (0.2500, 0.7500, 0.5000) and Ag at (0.2500, 0.2500, 0.7451).

As for the total magnetization: 0.00 μB/cell. The calculation puts the formation enthalpy at 0 K at -0.14 eV/atom. As for the offset from the most stable computed form: 16.2 meV/atom.

[9]
DFT (PBE) results for a relaxed ErSc2Ag6 crystal.

The space group is C2/m (No. 12) and the conventional cell measures 5.1465, 15.4552 and 5.1894 Å, with angles of 90.00, 119.53 and 90.00 degrees. The asymmetric unit holds Er at (0.0000, 0.0000, 0.0000), Sc at (0.0000, 0.1658, 0.5000), Ag at (0.1615, 0.3311, 0.8318) and Ag at (0.1675, 0.5000, 0.3277).

As for the total magnetization: 0.00 μB/cell. The calculation puts the formation enthalpy at 0 K at -0.23 eV/atom.

[10]
DFT (PBE) results for a relaxed Er3ScAg4Se8 crystal.

The space group is C2/m (No. 12) and the conventional cell measures 13.8531, 8.1913 and 8.0845 Å, with angles of 90.00, 124.24 and 90.00 degrees. The asymmetric unit holds Er at (0.0000, 0.0000, 0.0000), Er at (0.2500, 0.2500, 0.5000), Sc at (0.0000, 0.5000, 0.0000), Ag at (0.0000, 0.0000, 0.5000), Ag at (0.0000, 0.5000, 0.5000), Ag at (0.2500, 0.2500, 0.0000), Se at (0.0011, 0.2564, 0.2404), Se at (0.2430, 0.5000, 0.2472) and Se at (0.2483, 0.0000, 0.2537).

As for the total magnetization: 0.00 μB/cell. The value obtained for the formation energy (no corrections) is -108.54 kJ/mol of atoms.

[11]
DFT (PBE) results for a relaxed Er2Sc5Tc2Ag crystal.

The space group is P4/mbm (No. 127) and the conventional cell measures 10.8773, 10.8773 and 3.7997 Å, with angles of 90.00, 90.00 and 90.00 degrees. The asymmetric unit holds Er at (0.1741, 0.3259, 0.0000), Sc at (0.0000, 0.5000, 0.5000), Sc at (0.0704, 0.7899, 0.5000), Tc at (0.1246, 0.6246, 0.0000) and Ag at (0.0000, 0.0000, 0.0000).

As for the total magnetization: 0.00 μB/cell. The calculation puts the formation enthalpy at 0 K at -0.16 eV/atom.

[12]
DFT (PBE) results for a relaxed Er2ScAg3Te6 crystal.

The space group is C2/m (No. 12) and the conventional cell measures 19.4966, 4.2877 and 8.4259 Å, with angles of 90.00, 103.84 and 90.00 degrees. The asymmetric unit holds Er at (0.1732, 0.0000, 0.3033), Sc at (0.0000, 0.5000, 0.0000), Ag at (0.0000, 0.5000, 0.5000), Ag at (0.2012, 0.0000, 0.7956), Te at (0.0119, 0.0000, 0.2477), Te at (0.1554, 0.5000, 0.0340) and Te at (0.1629, 0.5000, 0.5629).

As for the total magnetization: 0.00 μB/cell. The value obtained for the formation energy (no corrections) is -76.21 kJ/mol of atoms.